[1]
{
  "formula": "ReSiAu",
  "functional": "GGA-PBE",
  "state": "relaxed",
  "lattice": [[-3.277, 0.342, -2.717], [-3.642, -2.092, 0.773], [-3.503, 2.161, 1.140]],
  "species": ["Au", "Si", "Re"],
  "frac_coords": [[0.500, 0.500, 0.500], [0.000, 0.000, 0.000], [0.750, 0.750, 0.750]],
  "raw_formation_energy_kj_per_mol_atoms": 59.70,
  "dos_at_fermi_per_ev_fu": 2.4,
  "de_polymorph_ev_per_fu": 1.21,
  "spacegroup": "F-43m, No. 216",
  "e_tot_ev_per_atom": -6.4307,
  "crystal_system": "cubic"
}

=====

[2]
{
  "formula": "FeNi5Pd6",
  "functional": "GGA-PBE",
  "state": "relaxed",
  "lattice": [[-1.556, -3.287, 2.713], [-0.702, -3.232, -4.319], [4.623, -5.335, 3.242]],
  "species": ["Pd", "Pd", "Pd", "Pd", "Pd", "Pd", "Ni", "Ni", "Ni", "Ni", "Ni", "Fe"],
  "frac_coords": [[0.500, 0.250, 0.000], [0.835, 0.750, 0.334], [0.165, 0.250, 0.666], [0.835, 0.250, 0.334], [0.500, 0.750, 0.000], [0.165, 0.750, 0.666], [0.660, 0.000, 0.669], [0.339, 0.500, 0.330], [0.000, 0.500, 0.000], [0.661, 0.500, 0.670], [0.340, 0.000, 0.331], [0.000, 0.000, 0.000]],
  "dos_at_fermi_per_ev_fu": 16.9,
  "e_form_ev_per_atom": 0.0013,
  "spacegroup": "P2/m, No. 10",
  "e_tot_ev_per_atom": -5.7093,
  "crystal_system": "monoclinic"
}

=====

[3]
{
  "formula": "KTl2Cd2Sb2",
  "functional": "GGA-PBE",
  "state": "relaxed",
  "lattice": [[4.852, 0.000, 0.000], [2.426, 4.202, 0.000], [2.426, 1.401, 11.518]],
  "species": ["Sb", "Sb", "Cd", "Cd", "Tl", "Tl", "K"],
  "frac_coords": [[0.263, 0.263, 0.211], [0.737, 0.737, 0.789], [0.580, 0.580, 0.259], [0.420, 0.420, 0.741], [0.859, 0.859, 0.423], [0.141, 0.141, 0.577], [0.000, 0.000, 0.000]],
  "raw_formation_energy_kj_per_mol_atoms": -13.72,
  "dos_at_fermi_per_ev_fu": 2.9,
  "spacegroup": "R-3m, No. 166",
  "e_tot_ev_per_atom": -2.4143,
  "crystal_system": "trigonal"
}

=====

[4]
{
  "formula": "TmGaPtAu",
  "functional": "GGA-PBE",
  "state": "relaxed",
  "lattice": [[-3.708, -0.781, -2.843], [-0.365, -4.101, -2.343], [-3.314, -3.149, 1.240]],
  "species": ["Au", "Tm", "Ga", "Pt"],
  "frac_coords": [[0.250, 0.250, 0.250], [0.500, 0.500, 0.500], [0.000, 0.000, 0.000], [0.750, 0.750, 0.750]],
  "dos_at_fermi_per_ev_fu": 1.2,
  "e_form_ev_per_atom": -0.7917,
  "spacegroup": "F-43m, No. 216",
  "e_tot_ev_per_atom": -4.9958,
  "crystal_system": "cubic"
}

=====

[5]
{
  "formula": "K5Pb",
  "functional": "GGA-PBE",
  "state": "relaxed",
  "lattice": [[-0.885, 7.759, 3.568], [0.428, -8.135, 2.710], [6.333, 0.497, 0.491]],
  "species": ["Pb", "K", "K", "K", "K", "K"],
  "frac_coords": [[0.972, 0.028, 0.000], [0.617, 0.383, 0.000], [0.472, 0.528, 0.500], [0.113, 0.887, 0.500], [0.328, 0.672, 0.000], [0.831, 0.169, 0.500]],
  "dos_at_fermi_per_ev_fu": 5.6,
  "de_polymorph_ev_per_fu": 0.10,
  "e_form_ev_per_atom": -0.0142,
  "spacegroup": "Cmmm, No. 65",
  "e_tot_ev_per_atom": -1.5469,
  "crystal_system": "orthorhombic"
}

=====

[6]
{
  "formula": "Gd11In9Ni4",
  "functional": "GGA-PBE",
  "state": "relaxed",
  "lattice": [[7.300, -10.960, 0.000], [7.300, 10.960, 0.000], [0.000, 0.000, 3.680]],
  "species": ["In", "In", "In", "In", "In", "In", "In", "In", "In", "Gd", "Gd", "Gd", "Gd", "Gd", "Gd", "Gd", "Gd", "Gd", "Gd", "Gd", "Ni", "Ni", "Ni", "Ni"],
  "frac_coords": [[0.921, 0.780, 0.500], [0.220, 0.079, 0.500], [0.780, 0.921, 0.500], [0.160, 0.632, 0.500], [0.840, 0.368, 0.500], [0.079, 0.220, 0.500], [0.500, 0.500, 0.500], [0.368, 0.840, 0.500], [0.632, 0.160, 0.500], [0.841, 0.159, 0.000], [0.416, 0.077, 0.000], [0.923, 0.584, 0.000], [0.077, 0.416, 0.000], [0.584, 0.923, 0.000], [0.687, 0.687, 0.000], [0.000, 0.000, 0.000], [0.375, 0.625, 0.000], [0.159, 0.841, 0.000], [0.625, 0.375, 0.000], [0.313, 0.313, 0.000], [0.551, 0.753, 0.500], [0.753, 0.551, 0.500], [0.247, 0.449, 0.500], [0.449, 0.247, 0.500]],
  "dos_at_fermi_per_ev_fu": 14.4,
  "e_form_ev_per_atom": -0.5248,
  "spacegroup": "Cmmm, No. 65",
  "e_tot_ev_per_atom": -8.9690,
  "crystal_system": "orthorhombic"
}